(1)
DFT (PBE-GGA) results for a relaxed structure of K2CuHg.

Energy relative to the elements: 0.222 eV/atom

a = 9.2810 Å, b = 9.2810 Å, c = 6.9873 Å
α = 90.00°, β = 90.00°, γ = 90.00°
With the nearest neighbours (Å) after each atom.
Space group I-42d (No. 122)
Inequivalent atoms, fractional coordinates:
1 K 0.2207 0.2500 0.1250 x8  2 Cu 3.22, 2 K 3.54, 2 Hg 3.59
2 Cu 0.0000 0.0000 0.0000 x4  4 K 3.22, 2 Hg 3.49
3 Hg 0.0000 0.0000 0.5000 x4  2 Cu 3.49, 4 K 3.59

---

(2)
DFT (PBE-GGA) results for a relaxed structure of Pm2NdDySc.

Energy relative to the elements: 0.362 eV/atom

a = 6.4684 Å, b = 15.9562 Å, c = 6.4681 Å
α = 90.00°, β = 90.00°, γ = 90.00°
With the nearest neighbours (Å) after each atom.
Space group Cmcm (No. 63)
Inequivalent atoms, fractional coordinates:
1 Pm 0.2479 0.0000 0.0000 x8  4 Pm 3.21-3.26, 2 Sc 3.34, 2 Nd 3.47
2 Nd 0.0000 0.3370 0.2500 x4  1 Sc 2.93
3 Dy 0.0000 0.2469 0.7500 x4  4 Nd 3.50-3.54, 4 Sc 3.56-3.60
4 Sc 0.0000 0.1535 0.2500 x4  1 Nd 2.93